1.
HfAsS2Cl | meta-GGA SCAN | PBEsol geometry

Calculated values
Uncorrected formation energy (eV/f.u.): 1.70
Space group: P4/mmm, No. 123

a b c (Å): 4.6529 4.6987 4.6987
angles (deg): 90.00 90.00 90.00
Closest atoms and distances in Å follow each position.
Fractional coordinates of all 5 atoms:
As 0.0000 0.0000 0.0000  2 Cl 2.33, 4 S 2.35
Hf 0.5000 0.5000 0.5000  8 S 3.31, 4 Cl 3.32
S 0.0000 0.0000 0.5000  2 As 2.35
S 0.0000 0.5000 0.0000  2 As 2.35
Cl 0.5000 0.0000 0.0000  2 As 2.33

---

2.
CsZnSbH2 | meta-GGA SCAN | PBEsol geometry

Calculated values
Total DFT energy (no corrections) (eV/atom): -19.33
Space group: P3m1, No. 156

a b c (Å): 4.6027 4.6027 6.1192
angles (deg): 90.00 90.00 120.00
Closest atoms and distances in Å follow each position.
Fractional coordinates of all 5 atoms:
Cs 0.3333 0.6667 0.8513  6 H 2.85-2.91
Sb 0.6667 0.3333 0.3713  1 H 1.74
Zn 0.0000 0.0000 0.2854  1 H 1.63
H 0.0000 0.0000 0.0189  1 Zn 1.63
H 0.6667 0.3333 0.6559  1 Sb 1.74

---

3.
SrHfGe2Ir | meta-GGA SCAN | PBEsol geometry

Calculated values
Formation energy from the elements (eV per atom): 0.054
Space group: P4/mmm, No. 123

a b c (Å): 4.8459 4.8459 5.0924
angles (deg): 90.00 90.00 90.00
Closest atoms and distances in Å follow each position.
Fractional coordinates of all 5 atoms:
Sr 0.5000 0.5000 0.5000  4 Hf 3.43, 8 Ge 3.51
Ge 0.0000 0.5000 0.0000  2 Ir 2.42
Ge 0.5000 0.0000 0.0000  2 Ir 2.42
Ir 0.0000 0.0000 0.0000  4 Ge 2.42, 2 Hf 2.55
Hf 0.0000 0.0000 0.5000  2 Ir 2.55

---

4.
YReAu | meta-GGA SCAN | PBEsol geometry

Calculated values
Formation energy from the elements (eV per atom): 0.487
Space group: F-43m, No. 216

a b c (Å): 4.5509 4.5509 4.5509
angles (deg): 60.00 60.00 60.00
Closest atoms and distances in Å follow each position.
Fractional coordinates of all 3 atoms:
Au 0.2500 0.2500 0.2500  4 Re 2.79, 4 Y 2.79
Re 0.0000 0.0000 0.0000  4 Au 2.79
Y 0.5000 0.5000 0.5000  4 Au 2.79

---

5.
PPdPtCl2 | meta-GGA SCAN | PBEsol geometry

Calculated values
Uncorrected formation energy (eV/f.u.): 3.84
Space group: P4/mmm, No. 123

a b c (Å): 4.5962 4.5962 4.7036
angles (deg): 90.00 90.00 90.00
Closest atoms and distances in Å follow each position.
Fractional coordinates of all 5 atoms:
P 0.0000 0.0000 0.5000  2 Pd 2.35
Pd 0.0000 0.0000 0.0000  4 Cl 2.30, 2 P 2.35
Pt 0.5000 0.5000 0.5000  4 P 3.25, 8 Cl 3.29
Cl 0.0000 0.5000 0.0000  2 Pd 2.30
Cl 0.5000 0.0000 0.0000  2 Pd 2.30

---

6.
MnCuBRu2 | meta-GGA SCAN | PBEsol geometry

Calculated values
Formation energy from the elements (eV per atom): 2.075
Space group: P4/mmm, No. 123

a b c (Å): 4.2403 4.2403 4.2880
angles (deg): 90.00 90.00 90.00
Closest atoms and distances in Å follow each position.
Fractional coordinates of all 5 atoms:
Ru 0.0000 0.5000 0.0000  2 Mn 2.12
Ru 0.5000 0.0000 0.0000  2 Mn 2.12
B 0.5000 0.5000 0.5000  4 Cu 3.00, 8 Ru 3.02
Mn 0.0000 0.0000 0.0000  4 Ru 2.12, 2 Cu 2.14
Cu 0.0000 0.0000 0.5000  2 Mn 2.14

---

7.
Nd3Si2S8Br | meta-GGA SCAN | PBEsol geometry

Calculated values
Uncorrected formation energy (eV/f.u.): -24.01
Space group: C2/c, No. 15

a b c (Å): 7.6565 8.6229 10.7895
angles (deg): 96.71 90.00 116.36
Closest atoms and distances in Å follow each position.
Fractional coordinates of all 28 atoms:
Nd 0.0748 0.3924 0.1841  8 S 2.88-3.02
Nd 0.3176 0.3924 0.6841  8 S 2.88-3.02
Nd 0.6824 0.6076 0.3159  8 S 2.88-3.02
Nd 0.6110 0.0000 0.7500  4 S 2.84-2.86, 1 Br 3.02
Nd 0.9252 0.6076 0.8159  8 S 2.88-3.02
Nd 0.3890 0.0000 0.2500  4 S 2.84-2.86, 1 Br 3.02
Si 0.6260 0.3201 0.0292  4 S 2.11-2.13
Si 0.3059 0.6799 0.4708  4 S 2.11-2.13
Si 0.3740 0.6799 0.9708  4 S 2.11-2.13
Si 0.6941 0.3201 0.5292  4 S 2.11-2.13
S 0.3956 0.2927 0.1462  1 Si 2.11
S 0.2777 0.8717 0.9530  1 Si 2.11
S 0.1029 0.7073 0.3538  1 Si 2.11
S 0.5940 0.8717 0.4530  1 Si 2.11
S 0.4060 0.1283 0.5470  1 Si 2.11
S 0.1404 0.4279 0.9149  1 Si 2.13
S 0.2559 0.7046 0.6632  1 Si 2.12
S 0.8971 0.2927 0.6462  1 Si 2.11
S 0.7441 0.2954 0.3368  1 Si 2.12
S 0.5512 0.2954 0.8368  1 Si 2.12
S 0.2875 0.4279 0.4149  1 Si 2.13
S 0.8596 0.5721 0.0851  1 Si 2.13
S 0.7223 0.1283 0.0470  1 Si 2.11
S 0.6044 0.7073 0.8538  1 Si 2.11
S 0.7125 0.5721 0.5851  1 Si 2.13
S 0.4488 0.7046 0.1632  1 Si 2.12
Br 0.0060 0.0000 0.7500  3 Nd 3.02-3.32, 2 S 3.29
Br 0.9940 0.0000 0.2500  3 Nd 3.02-3.32, 2 S 3.29

---

8.
MnPbAu3 | meta-GGA SCAN | PBEsol geometry

Calculated values
Formation energy from the elements (eV per atom): 0.268
Space group: Pm-3m, No. 221

a b c (Å): 4.8541 4.8541 4.8541
angles (deg): 90.00 90.00 90.00
Closest atoms and distances in Å follow each position.
Fractional coordinates of all 5 atoms:
Pb 0.5000 0.5000 0.5000  12 Au 3.43
Mn 0.0000 0.0000 0.0000  6 Au 2.43
Au 0.0000 0.5000 0.0000  2 Mn 2.43
Au 0.0000 0.0000 0.5000  2 Mn 2.43
Au 0.5000 0.0000 0.0000  2 Mn 2.43